Crystalline Y4SnHgN at its relaxed geometry. Source: the Alexandria database, functional GGA-PBE.

Properties
Crystal system ... orthorhombic
N(E_F) ... 0.63 states/eV per atom
Total magnetization ... 0.000 μB/atom
VASP energy ... -44.62 eV per formula unit
Uncorrected formation energy ... -591.8 kJ/mol of formula units

Lattice parameters (Å, degrees): 6.679 15.734 6.674 90.00 90.00 90.00
Space group Cmcm (No. 63)
Inequivalent atoms, fractional coordinates:
Y  0.000  0.081  0.250 (multiplicity 4)
Y  0.000  0.412  0.250 (multiplicity 4)
Y  0.250  0.250  0.000 (multiplicity 8)
Sn  0.000  0.390  0.750 (multiplicity 4)
Hg  0.000  0.114  0.750 (multiplicity 4)
N  0.000  0.252  0.250 (multiplicity 4)

***

Crystalline Sr2Hg2N at its relaxed geometry. Source: the Alexandria database, functional GGA-PBE.

Properties
Crystal system ... tetragonal
N(E_F) ... 1.02 states/eV per atom
Total magnetization ... 0.058 μB/atom
Relative energy among the computed polymorphs ... 436.2 meV per atom
VASP energy ... -12.57 eV per formula unit
Uncorrected formation energy ... -27.2 kJ/mol of formula units

Lattice parameters (Å, degrees): 7.123 7.123 6.008 90.00 90.00 90.00
Space group P4/mbm (No. 127)
Inequivalent atoms, fractional coordinates:
Sr  0.200  0.300  0.000 (multiplicity 4)
Hg  0.149  0.649  0.500 (multiplicity 4)
N  0.000  0.000  0.000 (multiplicity 2)

***

Crystalline Sr2Hg2N at its relaxed geometry. Source: the Alexandria database, functional GGA-PBE.

Properties
Crystal system ... trigonal
N(E_F) ... 0.15 states/eV per atom
Total magnetization ... 0.000 μB/atom
Relative energy among the computed polymorphs ... 0.0 meV per atom
VASP energy ... -14.76 eV per formula unit
Uncorrected formation energy ... -237.6 kJ/mol of formula units

Lattice parameters (Å, degrees): 3.8743 3.8743 30.7038 90.00 90.00 120.00
Space group R-3m (No. 166, hexagonal axes)
Inequivalent atoms, fractional coordinates:
Sr  0.0000  0.0000  0.1220 (multiplicity 6)
Hg  0.0000  0.0000  0.3681 (multiplicity 6)
N  0.0000  0.0000  0.5000 (multiplicity 3)

***

Crystalline Sr5Hg2N2 at its relaxed geometry. Source: the Alexandria database, functional GGA-PBE.

Properties
Crystal system ... monoclinic
N(E_F) ... 0.52 states/eV per atom
Total magnetization ... 0.000 μB/atom
VASP energy ... -29.19 eV per formula unit
Uncorrected formation energy ... -340.6 kJ/mol of formula units

Lattice parameters (Å, degrees): 16.901 5.597 5.437 90.00 95.75 90.00
Space group C2/m (No. 12)
Inequivalent atoms, fractional coordinates:
Sr  0.000  0.000  0.000 (multiplicity 2)
Sr  0.157  0.000  0.494 (multiplicity 4)
Sr  0.182  0.500  0.954 (multiplicity 4)
Hg  0.060  0.500  0.351 (multiplicity 4)
N  0.166  0.000  0.992 (multiplicity 4)

***

Crystalline Sr2Hg2N at its relaxed geometry. Source: the Alexandria database, functional GGA-PBE.

Properties
Crystal system ... tetragonal
N(E_F) ... 0.56 states/eV per atom
Total magnetization ... 0.000 μB/atom
Relative energy among the computed polymorphs ... 575.3 meV per atom
VASP energy ... -11.88 eV per formula unit
Uncorrected formation energy ... 39.9 kJ/mol of formula units

Lattice parameters (Å, degrees): 3.841 3.841 18.485 90.00 90.00 90.00
Space group I4/mmm (No. 139)
Inequivalent atoms, fractional coordinates:
Sr  0.000  0.000  0.080 (multiplicity 4)
Hg  0.000  0.500  0.250 (multiplicity 4)
N  0.000  0.000  0.500 (multiplicity 2)

***

Crystalline Sr4Hg2N at its relaxed geometry. Source: the Alexandria database, functional GGA-PBE.

Properties
Crystal system ... tetragonal
N(E_F) ... 0.83 states/eV per atom
Total magnetization ... 0.000 μB/atom
Relative energy among the computed polymorphs ... 0.0 meV per atom
VASP energy ... -18.84 eV per formula unit
Uncorrected formation energy ... -307.0 kJ/mol of formula units

Lattice parameters (Å, degrees): 5.211 5.211 16.813 90.00 90.00 90.00
Space group I4/mmm (No. 139)
Inequivalent atoms, fractional coordinates:
Sr  0.000  0.000  0.161 (multiplicity 4)
Sr  0.000  0.500  0.000 (multiplicity 4)
Hg  0.000  0.000  0.360 (multiplicity 4)
N  0.000  0.000  0.000 (multiplicity 2)